1.
The following is a DFT calculation (PBE) of an optimized crystal structure of Te2PtBr. Values from VASP.

The structure in Quantum ESPRESSO input format:
```
&SYSTEM
  ibrav = 0, nat = 4, ntyp = 3
/
ATOMIC_SPECIES
Pt 195.08 Pt.upf
Te 127.60 Te.upf
Br 79.90 Br.upf
CELL_PARAMETERS angstrom
3.6271 0.0000 0.0000
0.0000 3.6271 0.0000
0.0000 0.0000 7.7467
ATOMIC_POSITIONS crystal
Pt 0.5000 0.5000 0.7500
Te 0.0000 0.0000 0.5690
Te 0.0000 0.0000 0.9310
Br 0.5000 0.5000 0.2500
```

Computed properties:
* DOS at the Fermi energy: 0.40 states/eV per atom
* crystal system: tetragonal
* E_form (uncorrected): 0.23 eV per formula unit
* raw total energy: -13.8 eV for the cell shown

2.
The following is a DFT calculation (PBE) of an optimized crystal structure of TePtBr. Values from VASP.

The structure in Quantum ESPRESSO input format:
```
&SYSTEM
  ibrav = 0, nat = 3, ntyp = 3
/
ATOMIC_SPECIES
Br 79.90 Br.upf
Te 127.60 Te.upf
Pt 195.08 Pt.upf
CELL_PARAMETERS angstrom
4.7470 0.0000 0.0000
2.3735 4.1110 0.0000
2.3735 1.3703 3.8759
ATOMIC_POSITIONS crystal
Br 0.5000 0.5000 0.5000
Te 0.0000 0.0000 0.0000
Pt 0.7500 0.7500 0.7500
```

Computed properties:
* DOS at the Fermi energy: 1.46 states/eV per atom
* crystal system: cubic
* E_form (uncorrected): 0.98 eV per formula unit
* raw total energy: -9.9 eV for the cell shown

3.
The following is a DFT calculation (PBE) of an optimized crystal structure of Te2PtBr. Values from VASP.

The structure in Quantum ESPRESSO input format:
```
&SYSTEM
  ibrav = 0, nat = 4, ntyp = 3
/
ATOMIC_SPECIES
Pt 195.08 Pt.upf
Te 127.60 Te.upf
Br 79.90 Br.upf
CELL_PARAMETERS angstrom
-1.4075 2.6200 2.8038
-3.4424 -0.8409 2.0370
2.4482 -2.9912 7.0034
ATOMIC_POSITIONS crystal
Pt 0.6692 0.6692 0.9925
Te 0.0610 0.0610 0.8170
Te 0.2782 0.2782 0.1653
Br 0.4916 0.4916 0.5252
```

Computed properties:
* DOS at the Fermi energy: 0.71 states/eV per atom
* crystal system: trigonal
* E_form (uncorrected): -1.46 eV per formula unit
* raw total energy: -15.5 eV for the cell shown

Q: What is the formula in the third record?
A: Te2PtBr